Density functional theory data (PBE with a Hubbard U) for crystalline CaV2HgO8 at its relaxed geometry.

POSCAR file:
```
CaV2HgO8
1.0
5.900 0.000 0.000
-2.950 5.110 0.000
0.000 0.000 6.387
Ca V Hg O
1 2 1 8
direct
0.000 0.000 0.000
0.667 0.333 0.341
0.333 0.667 0.659
0.000 0.000 0.500
0.834 0.166 0.257
0.834 0.667 0.257
0.333 0.166 0.257
0.667 0.834 0.743
0.333 0.667 0.401
0.667 0.333 0.599
0.166 0.834 0.743
0.166 0.333 0.743
```

Properties
SG: P-3m1
raw total energy: -74.6 eV per cell